Entry 1:
Material: GdDyZnSi
Method: DFT, PBE
State: optimized geometry

Summary:
Raw formation energy in eV per formula unit: -1.850
Total moment in μB/f.u.: 7.1

abc: 7.068 7.068 7.068
angles: 90.00 90.00 90.00
Positions (direct):
Gd 0.000 0.000 0.000
Gd 0.000 0.500 0.500
Gd 0.500 0.000 0.500
Gd 0.500 0.500 0.000
Dy 0.000 0.000 0.500
Dy 0.000 0.500 0.000
Dy 0.500 0.000 0.000
Dy 0.500 0.500 0.500
Zn 0.250 0.250 0.750
Zn 0.250 0.750 0.250
Zn 0.750 0.250 0.250
Zn 0.750 0.750 0.750
Si 0.250 0.250 0.250
Si 0.250 0.750 0.750
Si 0.750 0.250 0.750
Si 0.750 0.750 0.250

***

Entry 2:
Material: SrGe6
Method: DFT, PBE
State: optimized geometry

Summary:
E_form in meV/atom: -22
Total moment in μB/f.u.: 0.0

abc: 7.139 7.139 7.139
angles: 90.00 90.00 90.00
Positions (direct):
Sr 0.000 0.000 0.000
Sr 0.500 0.500 0.500
Ge 0.000 0.250 0.500
Ge 0.000 0.500 0.250
Ge 0.000 0.500 0.750
Ge 0.000 0.750 0.500
Ge 0.250 0.000 0.500
Ge 0.250 0.500 0.000
Ge 0.500 0.000 0.250
Ge 0.500 0.000 0.750
Ge 0.500 0.250 0.000
Ge 0.500 0.750 0.000
Ge 0.750 0.000 0.500
Ge 0.750 0.500 0.000

***

Entry 3:
Material: ThPa2Si2
Method: DFT, PBE
State: optimized geometry

Summary:
Raw formation energy in eV per formula unit: -2.439
Total moment in μB/f.u.: 0.0

abc: 7.604 7.604 3.979
angles: 90.00 90.00 90.00
Positions (direct):
Th 0.000 0.000 0.000
Th 0.500 0.500 0.000
Pa 0.181 0.319 0.500
Pa 0.319 0.819 0.500
Pa 0.681 0.181 0.500
Pa 0.819 0.681 0.500
Si 0.114 0.614 0.000
Si 0.386 0.114 0.000
Si 0.614 0.886 0.000
Si 0.886 0.386 0.000

***

Entry 4:
Material: BaZr2
Method: DFT, PBE
State: optimized geometry

Summary:
E_form in meV/atom: 668
Total moment in μB/f.u.: 0.0
Energy above the lowest structure with this stoichiometry in meV per atom: 349

abc: 3.147 9.224 6.158
angles: 90.00 90.00 90.00
Positions (direct):
Ba 0.000 0.000 0.000
Ba 0.500 0.500 0.500
Zr 0.247 0.357 0.000
Zr 0.253 0.857 0.500
Zr 0.747 0.143 0.500
Zr 0.753 0.643 0.000

***

Entry 5:
Material: NaZn2Au2
Method: DFT, PBE
State: optimized geometry

Summary:
E_form in meV/atom: -254
Total moment in μB/f.u.: 0.0
Energy above the lowest structure with this stoichiometry in meV per atom: 42

abc: 3.993 3.993 12.543
angles: 90.00 90.00 90.00
Positions (direct):
Na 0.000 0.000 0.000
Na 0.500 0.500 0.500
Zn 0.000 0.500 0.250
Zn 0.000 0.500 0.750
Zn 0.500 0.000 0.250
Zn 0.500 0.000 0.750
Au 0.000 0.000 0.390
Au 0.000 0.000 0.610
Au 0.500 0.500 0.110
Au 0.500 0.500 0.890

***

Entry 6:
Material: Er12In6Ir
Method: DFT, PBE
State: optimized geometry

Summary:
E_form in meV/atom: -252
Total moment in μB/f.u.: 0.0

abc: 8.209 8.209 8.209
angles: 93.56 93.56 93.56
Positions (direct):
Er 0.048 0.933 0.705
Er 0.067 0.295 0.952
Er 0.181 0.399 0.519
Er 0.295 0.952 0.067
Er 0.399 0.519 0.181
Er 0.481 0.819 0.601
Er 0.519 0.181 0.399
Er 0.601 0.481 0.819
Er 0.705 0.048 0.933
Er 0.819 0.601 0.481
Er 0.933 0.705 0.048
Er 0.952 0.067 0.295
In 0.160 0.770 0.369
In 0.230 0.631 0.840
In 0.369 0.160 0.770
In 0.631 0.840 0.230
In 0.770 0.369 0.160
In 0.840 0.230 0.631
Ir 0.500 0.500 0.500

***

total moment of number 6 (Er12In6Ir)? 0.0 μB/f.u.

***

What is the total moment in the third record? 0.0 μB/f.u.

***

Which value of total moment does entry 4 give? 0.0 μB/f.u.

***

Which value of total moment does entry 5 give? 0.0 μB/f.u.